Entry 1:
HgOsPt | Alexandria | PBE-GGA | relaxed; distance to the lowest polymorph of the same formula = 12.5 kJ per mole of atoms; symmetry = Fmm2 (42); magnetic moment = 0.1 Bohr magnetons per cell; DFT formation energy = 591 meV/atom; V = 17.05 Å³ per atom; density = 19.0 Mg/m³
1.0
0.000 2.476 7.355
1.404 0.000 7.355
1.404 2.476 0.000
Hg Os Pt
1 1 1
Direct
0.000 0.000 0.000 Hg
0.673 0.673 0.327 Os
0.327 0.327 0.673 Pt

---

Entry 2:
Hg2OsPt | Alexandria | PBE-GGA | relaxed; distance to the lowest polymorph of the same formula = 6.3 kJ per mole of atoms; symmetry = Cm (8); magnetic moment = 0.0 Bohr magnetons per cell; DFT formation energy = 532 meV/atom; V = 18.16 Å³ per atom; density = 18.0 Mg/m³
1.0
5.433 -1.426 0.000
5.433 1.426 0.000
-2.077 0.000 4.688
Hg Os Pt
2 1 1
Direct
0.000 0.000 0.000 Hg
0.215 0.215 0.597 Hg
0.750 0.750 0.106 Os
0.453 0.453 0.472 Pt

---

Entry 3:
Hg2OsPt | Alexandria | PBE-GGA | relaxed; distance to the lowest polymorph of the same formula = 0.0 kJ per mole of atoms; symmetry = R3m (160); magnetic moment = 0.0 Bohr magnetons per cell; DFT formation energy = 466 meV/atom; V = 18.23 Å³ per atom; density = 17.9 Mg/m³
1.0
1.463 0.845 9.836
-1.463 0.845 9.836
0.000 -1.689 9.836
Hg Os Pt
2 1 1
Direct
0.000 0.000 0.000 Hg
0.237 0.237 0.237 Hg
0.750 0.750 0.750 Os
0.486 0.486 0.486 Pt

---

Entry 4:
HgOsPt2 | Alexandria | PBE-GGA | relaxed; symmetry = Immm (71); magnetic moment = 0.2 Bohr magnetons per cell; DFT formation energy = 491 meV/atom; V = 16.90 Å³ per atom; density = 19.2 Mg/m³
1.0
-1.386 2.461 4.955
1.386 -2.461 4.955
1.386 2.461 -4.955
Hg Os Pt
1 1 2
Direct
0.000 0.000 0.000 Hg
0.500 0.500 0.000 Os
0.267 0.767 0.500 Pt
0.733 0.233 0.500 Pt

---

Entry 5:
Hg2OsPt | Alexandria | PBE-GGA | relaxed; distance to the lowest polymorph of the same formula = 9.8 kJ per mole of atoms; symmetry = R-3m (166); magnetic moment = 0.0 Bohr magnetons per cell; DFT formation energy = 568 meV/atom; V = 17.70 Å³ per atom; density = 18.4 Mg/m³
1.0
1.478 0.853 9.361
-1.478 0.853 9.361
0.000 -1.706 9.361
Hg Os Pt
2 1 1
Direct
0.250 0.250 0.250 Hg
0.750 0.750 0.750 Hg
0.000 0.000 0.000 Os
0.500 0.500 0.500 Pt

---

Entry 6:
Hg2OsPt | Alexandria | PBE-GGA | relaxed; distance to the lowest polymorph of the same formula = 0.5 kJ per mole of atoms; symmetry = Pmm2 (25); magnetic moment = 0.0 Bohr magnetons per cell; DFT formation energy = 471 meV/atom; V = 18.43 Å³ per atom; density = 17.7 Mg/m³
1.0
2.882 0.000 0.000
0.000 2.906 0.000
0.000 0.000 8.801
Hg Os Pt
2 1 1
Direct
0.000 0.000 0.000 Hg
0.500 0.500 0.297 Hg
0.000 0.000 0.544 Os
0.500 0.500 0.742 Pt